## Ac3Pr3ErTe8 (GGA-PBE)

Data for crystalline Ac3Pr3ErTe8 at its relaxed geometry.

a = 9.1456 Å, b = 9.1456 Å, c = 22.8804 Å
α = 90.00°, β = 90.00°, γ = 120.00°
Space group R-3m (No. 166, hexagonal axes)
Symmetry-distinct sites (fractional):
Ac  0.0000  0.5000  0.0000
Pr  0.0000  0.5000  0.5000
Er  0.0000  0.0000  0.5000
Te  0.0000  0.0000  0.2461
Te  0.0063  0.5031  0.2447

Summary:
For the energy relative to the elements, uncorrected, the calculation gives -1.4706 eV per atom. The final energy comes out at -5.228 eV per atom. For the density of states at the Fermi level, the calculation gives 22.9 states/eV/cell.

## Ac2PrErTe6 (GGA-PBE)

Data for crystalline Ac2PrErTe6 at its relaxed geometry.

a = 8.1555 Å, b = 8.1555 Å, c = 21.4085 Å
α = 90.00°, β = 90.00°, γ = 120.00°
Space group R3 (No. 146, hexagonal axes)
Symmetry-distinct sites (fractional):
Ac  0.0000  0.0000  0.0000
Ac  0.0000  0.0000  0.4986
Pr  0.0000  0.0000  0.2981
Er  0.0000  0.0000  0.7999
Te  0.0082  0.3808  0.0593
Te  0.0240  0.6369  0.5566

Summary:
For the energy relative to the elements, uncorrected, the calculation gives -1.4420 eV per atom. The final energy comes out at -5.083 eV per atom. For the density of states at the Fermi level, the calculation gives 0.0 states/eV/cell.

## Ac2PrErTe5 (GGA-PBE)

Data for crystalline Ac2PrErTe5 at its relaxed geometry.

a = 5.4687 Å, b = 5.4687 Å, c = 11.8644 Å
α = 90.00°, β = 90.00°, γ = 90.00°
Space group P4/mmm (No. 123)
Symmetry-distinct sites (fractional):
Ac  0.0000  0.0000  0.1999
Pr  0.5000  0.5000  0.5000
Er  0.5000  0.5000  0.0000
Te  0.0000  0.0000  0.5000
Te  0.0000  0.5000  0.0000
Te  0.5000  0.5000  0.2495

Summary:
For the energy relative to the elements, uncorrected, the calculation gives -1.0453 eV per atom. The final energy comes out at -4.742 eV per atom. For the density of states at the Fermi level, the calculation gives 6.9 states/eV/cell.

## Ac2Pr3ErTe6 (GGA-PBE)

Data for crystalline Ac2Pr3ErTe6 at its relaxed geometry.

a = 7.9118 Å, b = 13.6986 Å, c = 7.8998 Å
α = 90.00°, β = 109.48°, γ = 90.00°
Space group C2/m (No. 12)
Symmetry-distinct sites (fractional):
Ac  0.0000  0.1646  0.0000
Pr  0.0000  0.0000  0.5000
Pr  0.0000  0.3191  0.5000
Er  0.0000  0.5000  0.0000
Te  0.2255  0.5000  0.7390
Te  0.2378  0.3426  0.2469

Summary:
For the energy relative to the elements, uncorrected, the calculation gives -1.4102 eV per atom. The final energy comes out at -5.241 eV per atom. For the density of states at the Fermi level, the calculation gives 13.4 states/eV/cell.